{
  "formula": "V4Ga5Ge",
  "functional": "PBE",
  "state": "relaxed",
  "dos_at_fermi_per_ev_cell": 5.2,
  "final_energy_ev_per_atom": -5.64,
  "space_group": "C2/m, No. 12",
  "lattice": [[3.694, 0.000, 0.000], [0.000, 6.372, 0.021], [-1.847, -1.680, 6.745]],
  "species": ["V", "V", "V", "V", "Ga", "Ga", "Ga", "Ga", "Ga", "Ge"],
  "frac_coords": [[0.678, 0.983, 0.356], [0.023, 0.252, 0.045], [0.322, 0.017, 0.644], [0.977, 0.748, 0.955], [0.208, 0.301, 0.417], [0.152, 0.670, 0.305], [0.848, 0.330, 0.695], [0.500, 0.500, 0.000], [0.792, 0.699, 0.583], [0.500, 0.000, 0.000]]
}

{
  "formula": "V4GaGe2",
  "functional": "PBE",
  "state": "relaxed",
  "dos_at_fermi_per_ev_cell": 10.1,
  "final_energy_ev_per_atom": -7.15,
  "space_group": "I-42d, No. 122",
  "lattice": [[-5.057, -2.374, 3.162], [1.009, -3.450, -5.318], [5.197, -0.284, 3.754]],
  "species": ["V", "V", "V", "V", "V", "V", "V", "V", "Ga", "Ga", "Ge", "Ge", "Ge", "Ge"],
  "frac_coords": [[0.869, 0.284, 0.252], [0.218, 0.466, 0.085], [0.032, 0.617, 0.748], [0.716, 0.968, 0.585], [0.383, 0.131, 0.415], [0.381, 0.133, 0.915], [0.534, 0.619, 0.752], [0.867, 0.782, 0.248], [0.250, 0.750, 0.500], [0.000, 0.000, 0.000], [0.755, 0.375, 0.880], [0.495, 0.875, 0.120], [0.625, 0.505, 0.380], [0.125, 0.245, 0.620]]
}

{
  "formula": "V4GaGe2",
  "functional": "PBE",
  "state": "relaxed",
  "dos_at_fermi_per_ev_cell": 6.4,
  "final_energy_ev_per_atom": -6.28,
  "space_group": "I4/mmm, No. 139",
  "lattice": [[4.434, 0.000, 0.000], [0.000, 4.434, 0.000], [2.217, 2.217, 6.575]],
  "species": ["Ge", "Ge", "Ga", "V", "V", "V", "V"],
  "frac_coords": [[0.378, 0.378, 0.245], [0.622, 0.622, 0.755], [0.000, 0.000, 0.000], [0.187, 0.187, 0.627], [0.813, 0.813, 0.373], [0.000, 0.500, 0.000], [0.500, 0.000, 0.000]]
}

{
  "formula": "GaGe2W2",
  "functional": "PBE",
  "state": "relaxed",
  "dos_at_fermi_per_ev_cell": 2.6,
  "final_energy_ev_per_atom": -7.25,
  "space_group": "I4/mmm, No. 139",
  "lattice": [[-1.384, 1.877, -2.638], [-0.424, -2.950, -1.876], [-6.997, -1.333, 0.373]],
  "species": ["Ge", "Ge", "Ga", "W", "W"],
  "frac_coords": [[0.750, 0.250, 0.500], [0.250, 0.750, 0.500], [0.000, 0.000, 0.000], [0.400, 0.400, 0.200], [0.600, 0.600, 0.800]]
}

{
  "formula": "GaGe3W",
  "functional": "PBE",
  "state": "relaxed",
  "dos_at_fermi_per_ev_cell": 6.3,
  "final_energy_ev_per_atom": -4.40,
  "space_group": "Pm-3m, No. 221",
  "lattice": [[4.727, 0.000, 0.000], [0.000, 4.727, 0.000], [0.000, 0.000, 4.727]],
  "species": ["Ge", "Ge", "Ge", "Ga", "W"],
  "frac_coords": [[0.000, 0.500, 0.000], [0.000, 0.000, 0.500], [0.500, 0.000, 0.000], [0.000, 0.000, 0.000], [0.500, 0.500, 0.500]]
}

{
  "formula": "GaGeW",
  "functional": "PBE",
  "state": "relaxed",
  "dos_at_fermi_per_ev_cell": 1.4,
  "final_energy_ev_per_atom": -6.51,
  "space_group": "P3m1, No. 156",
  "lattice": [[-1.697, -1.476, 1.658], [3.078, -3.289, 0.224], [0.049, 3.344, 3.026]],
  "species": ["Ge", "Ga", "W"],
  "frac_coords": [[0.164, 0.333, 0.667], [0.669, 0.667, 0.333], [0.167, 0.000, 0.000]]
}

{
  "formula": "Ga2Ge4W",
  "functional": "PBE",
  "state": "relaxed",
  "dos_at_fermi_per_ev_cell": 4.8,
  "final_energy_ev_per_atom": -4.82,
  "space_group": "I4/mmm, No. 139",
  "lattice": [[4.950, 0.000, 0.000], [0.000, 4.950, 0.000], [2.475, 2.475, 6.738]],
  "species": ["Ge", "Ge", "Ge", "Ge", "Ga", "Ga", "W"],
  "frac_coords": [[0.188, 0.188, 0.624], [0.812, 0.812, 0.376], [0.000, 0.500, 0.000], [0.500, 0.000, 0.000], [0.379, 0.379, 0.242], [0.621, 0.621, 0.758], [0.000, 0.000, 0.000]]
}

{
  "formula": "GaGe2W",
  "functional": "PBE",
  "state": "relaxed",
  "dos_at_fermi_per_ev_cell": 6.0,
  "final_energy_ev_per_atom": -5.48,
  "space_group": "I-42d, No. 122",
  "lattice": [[5.879, 0.000, 0.000], [0.000, 5.879, 0.000], [2.940, 2.940, 5.641]],
  "species": ["Ge", "Ge", "Ge", "Ge", "Ga", "Ga", "W", "W"],
  "frac_coords": [[0.639, 0.125, 0.250], [0.111, 0.625, 0.250], [0.375, 0.361, 0.750], [0.875, 0.889, 0.750], [0.500, 0.500, 0.000], [0.250, 0.750, 0.500], [0.000, 0.000, 0.000], [0.750, 0.250, 0.500]]
}

{
  "formula": "GaGeW3",
  "functional": "PBE",
  "state": "relaxed",
  "dos_at_fermi_per_ev_cell": 4.3,
  "final_energy_ev_per_atom": -7.57,
  "space_group": "Pm-3m, No. 221",
  "lattice": [[4.605, 0.000, 0.000], [0.000, 4.605, 0.000], [0.000, 0.000, 4.605]],
  "species": ["Ge", "Ga", "W", "W", "W"],
  "frac_coords": [[0.000, 0.000, 0.000], [0.500, 0.500, 0.500], [0.000, 0.500, 0.000], [0.000, 0.000, 0.500], [0.500, 0.000, 0.000]]
}

{
  "formula": "GaGe2W2",
  "functional": "PBE",
  "state": "relaxed",
  "dos_at_fermi_per_ev_cell": 4.4,
  "final_energy_ev_per_atom": -7.40,
  "space_group": "P4/mbm, No. 127",
  "lattice": [[6.945, 0.000, 0.000], [0.000, 6.945, 0.000], [0.000, 0.000, 3.420]],
  "species": ["Ge", "Ge", "Ge", "Ge", "Ga", "Ga", "W", "W", "W", "W"],
  "frac_coords": [[0.149, 0.649, 0.500], [0.649, 0.851, 0.500], [0.851, 0.351, 0.500], [0.351, 0.149, 0.500], [0.000, 0.000, 0.000], [0.500, 0.500, 0.000], [0.354, 0.854, 0.000], [0.854, 0.646, 0.000], [0.646, 0.146, 0.000], [0.146, 0.354, 0.000]]
}

{
  "formula": "Ga3GeW",
  "functional": "PBE",
  "state": "relaxed",
  "dos_at_fermi_per_ev_cell": 4.3,
  "final_energy_ev_per_atom": -4.62,
  "space_group": "Pm-3m, No. 221",
  "lattice": [[-0.185, 4.889, 0.500], [-2.755, 0.311, -4.062], [-4.070, -0.433, 2.727]],
  "species": ["Ge", "Ga", "Ga", "Ga", "W"],
  "frac_coords": [[0.500, 0.500, 0.500], [0.000, 0.500, 0.000], [0.000, 0.000, 0.500], [0.500, 0.000, 0.000], [0.000, 0.000, 0.000]]
}

{
  "formula": "GaGe3W",
  "functional": "PBE",
  "state": "relaxed",
  "dos_at_fermi_per_ev_cell": 3.0,
  "final_energy_ev_per_atom": -5.54,
  "space_group": "Pm-3m, No. 221",
  "lattice": [[-1.100, 0.341, -4.792], [-0.217, -4.915, -0.300], [-4.799, 0.144, 1.112]],
  "species": ["Ge", "Ge", "Ge", "Ga", "W"],
  "frac_coords": [[0.000, 0.500, 0.000], [0.000, 0.000, 0.500], [0.500, 0.000, 0.000], [0.500, 0.500, 0.500], [0.000, 0.000, 0.000]]
}